Below is crystalline USbPb at its relaxed geometry, with properties calculated at the PBE level.

a = 5.2174 Å, b = 5.2174 Å, c = 5.2174 Å
α = 60.00°, β = 60.00°, γ = 60.00°
Element x y z (fractional)
Pb1 0.0000 0.0000 0.0000
Sb1 0.2500 0.2500 0.2500
U1 0.7500 0.7500 0.7500

relative energy among the computed polymorphs: 310.7 meV/atom
density: 9.375 g cm⁻³
space group: F-43m
calculated volume: 33.48 Å³ per atom

---

Below is crystalline USbPb at its relaxed geometry, with properties calculated at the PBE level.

a = 5.1728 Å, b = 5.1728 Å, c = 5.1728 Å
α = 60.00°, β = 60.00°, γ = 60.00°
Element x y z (fractional)
Pb1 0.2500 0.2500 0.2500
Sb1 0.7500 0.7500 0.7500
U1 0.0000 0.0000 0.0000

relative energy among the computed polymorphs: 0.0 meV/atom
density: 9.620 g cm⁻³
space group: F-43m
calculated volume: 32.62 Å³ per atom

---

Below is crystalline ZrSb2Pb at its relaxed geometry, with properties calculated at the PBE level.

a = 5.2888 Å, b = 5.2888 Å, c = 5.2888 Å
α = 60.00°, β = 60.00°, γ = 60.00°
Element x y z (fractional)
Pb1 0.7500 0.7500 0.7500
Sb1 0.0000 0.0000 0.0000
Sb2 0.2500 0.2500 0.2500
Zr1 0.5000 0.5000 0.5000

density: 8.603 g cm⁻³
E_tot: -4.920 eV/atom
space group: F-43m
calculated volume: 26.15 Å³ per atom

---

Below is crystalline Zr5SbPb3 at its relaxed geometry, with properties calculated at the PBE level.

a = 8.9224 Å, b = 8.9224 Å, c = 6.0709 Å
α = 90.00°, β = 90.00°, γ = 120.00°
Element x y z (fractional)
Pb1 0.6127 0.0000 0.2500
Pb2 0.3873 0.3873 0.2500
Pb3 0.0000 0.6127 0.2500
Pb4 0.3873 0.0000 0.7500
Pb5 0.0000 0.3873 0.7500
Pb6 0.6127 0.6127 0.7500
Sb1 0.0000 0.0000 0.0000
Sb2 0.0000 0.0000 0.5000
Zr1 0.6667 0.3333 0.0000
Zr2 0.3333 0.6667 0.0000
Zr3 0.2781 0.0000 0.2500
Zr4 0.0000 0.2781 0.2500
Zr5 0.7219 0.7219 0.2500
Zr6 0.6667 0.3333 0.5000
Zr7 0.3333 0.6667 0.5000
Zr8 0.7219 0.0000 0.7500
Zr9 0.2781 0.2781 0.7500
Zr10 0.0000 0.7219 0.7500

density: 9.518 g cm⁻³
E_tot: -6.826 eV/atom
space group: P6_3/mcm
calculated volume: 23.25 Å³ per atom

---

Please write out number 3 again, unchanged.
Below is crystalline ZrSb2Pb at its relaxed geometry, with properties calculated at the PBE level.

a = 5.2888 Å, b = 5.2888 Å, c = 5.2888 Å
α = 60.00°, β = 60.00°, γ = 60.00°
Element x y z (fractional)
Pb1 0.7500 0.7500 0.7500
Sb1 0.0000 0.0000 0.0000
Sb2 0.2500 0.2500 0.2500
Zr1 0.5000 0.5000 0.5000

density: 8.603 g cm⁻³
E_tot: -4.920 eV/atom
space group: F-43m
calculated volume: 26.15 Å³ per atom

---

Question: density of number 2 (USbPb)?
Answer: 9.620 g cm⁻³

---

Question: Among the records above, which one has the highest density?
Answer: number 2